<w>
NaTaPO: relaxed, PBE.

The structure in POSCAR format:
```
NaTaPO
1.0
3.491 0.000 0.000
0.000 6.823 0.000
0.000 0.000 5.833
Na Ta P O
2 2 2 2
Cartesian
0.000 0.678 0.000
0.000 6.145 2.917
1.745 3.395 1.573
1.745 3.428 4.490
0.000 2.116 3.052
0.000 4.707 0.135
1.745 2.006 0.122
1.745 4.818 3.039
```

As for the space-group type: No. 26.

<x>
NaTaPO: relaxed, PBE.

The structure in POSCAR format:
```
NaTaPO
1.0
4.957 0.000 0.000
0.000 4.957 0.000
0.000 0.000 4.644
Na Ta P O
2 2 2 2
Cartesian
1.239 1.239 0.004
3.718 3.718 4.640
1.239 3.718 2.322
3.718 1.239 2.322
1.239 1.239 2.325
3.718 3.718 2.319
1.239 3.718 0.000
3.718 1.239 0.000
```

As for the space-group type: No. 129.

Most stable: <w>. Least stable: <x>.

<w>
NaTaPO: relaxed, PBE.

The structure in POSCAR format:
```
NaTaPO
1.0
3.503 0.000 0.000
0.000 3.503 0.000
0.000 0.000 9.193
Na Ta P O
2 2 2 2
Cartesian
0.876 2.627 0.000
2.627 0.876 0.000
0.876 0.876 3.318
2.627 2.627 5.876
0.876 0.876 7.049
2.627 2.627 2.144
0.876 2.627 4.597
2.627 0.876 4.597
```

As for the space-group type: No. 129.

<x>
NaTaPO: relaxed, PBE.

The structure in POSCAR format:
```
NaTaPO
1.0
3.821 0.000 0.000
0.000 6.699 0.000
0.000 0.000 5.097
Na Ta P O
2 2 2 2
Cartesian
0.000 6.697 0.000
0.000 0.002 2.549
1.910 2.431 1.260
1.910 4.268 3.809
1.910 1.857 3.813
1.910 4.842 1.264
0.000 1.890 1.266
0.000 4.809 3.815
```

As for the space-group type: No. 26.

Most stable: <x>. Least stable: <w>.

<w>
NaZnPO: relaxed, PBE.

The structure in POSCAR format:
```
NaZnPO
1.0
3.319 0.000 0.000
0.000 6.972 0.000
0.000 0.000 5.286
Na Zn P O
2 2 2 2
Cartesian
0.000 0.980 0.000
0.000 5.993 2.643
1.660 1.412 2.585
1.660 5.561 5.228
0.000 3.163 2.486
0.000 3.809 5.129
1.660 0.059 3.954
1.660 6.914 1.311
```

As for the space-group type: No. 26.

<x>
NaZnPO: relaxed, PBE.

The structure in POSCAR format:
```
NaZnPO
1.0
3.985 0.000 0.000
0.000 3.985 0.000
0.000 0.000 9.427
Na Zn P O
2 2 2 2
Cartesian
0.996 2.988 0.000
2.988 0.996 0.000
0.996 0.996 4.388
2.988 2.988 5.039
0.996 0.996 7.344
2.988 2.988 2.083
0.996 2.988 4.713
2.988 0.996 4.713
```

As for the space-group type: No. 129.

Most stable: <w>. Least stable: <x>.